Material: MoIr2RuF
Method: DFT, PBE with a Hubbard U
State: optimized geometry

Lattice parameters (Å, degrees): 4.352 4.116 4.352 90.00 90.00 90.00
Each line ends with the local moment (μB).
Atoms (fractional coordinates):
Ir (0.000, 0.000, 0.500)  0.66
Ir (0.500, 0.000, 0.000)  0.72
F (0.000, 0.000, 0.000)  0.06
Mo (0.500, 0.500, 0.500)  -2.92
Ru (0.000, 0.500, 0.000)  1.49

Calculated values
Total energy   -5.999 eV/atom
Magnetization   0.3 μB/cell
SG   No. 123
Density   12.788 g cm⁻³